The following is a DFT calculation (PBE) of a relaxed Nb5V5Si6 crystal.

Output
**Polymorph energy (0 for the lowest one)**: 0 meV/atom
**Formation energy (no corrections)**: -628 meV/atom

The structure in extended XYZ format:
```
16
Lattice="4.983 0.000 0.000 0.000 6.316 3.726 0.000 -6.316 3.726" Properties=species:S:1:pos:R:3 pbc="T T T"
Nb 0.000 0.000 0.000
Nb 0.000 -1.452 4.717
Nb 0.000 1.452 4.717
Nb 2.491 -4.756 2.812
Nb 2.491 4.756 2.812
V 1.257 -2.121 1.870
V 1.257 2.121 1.870
V 2.491 0.000 3.646
V 3.726 -2.121 1.870
V 3.726 2.121 1.870
Si 0.000 -3.744 3.387
Si 0.000 0.000 2.582
Si 0.000 3.744 3.387
Si 2.491 0.000 1.175
Si 2.491 -2.466 4.102
Si 2.491 2.466 4.102
```

The following is a DFT calculation (PBE) of a relaxed GaAg3B crystal.

Output
**Polymorph energy (0 for the lowest one)**: 0 meV/atom
**ΔH_f (0 K)**: 0.4700 eV per atom

The structure in extended XYZ format:
```
5
Lattice="4.429 0.000 0.000 0.000 4.429 0.000 0.000 0.000 4.429" Properties=species:S:1:pos:R:3 pbc="T T T"
Ga 0.000 0.000 0.000
Ag 0.000 2.214 2.214
Ag 2.214 0.000 2.214
Ag 2.214 2.214 0.000
B 2.214 2.214 2.214
```

The following is a DFT calculation (PBE) of a relaxed Mg2RuPt crystal.

Output
**ΔH_f (0 K)**: -0.1206 eV per atom

The structure in extended XYZ format:
```
4
Lattice="3.335 0.000 0.000 0.000 3.335 0.000 0.000 0.000 5.932" Properties=species:S:1:pos:R:3 pbc="T T T"
Mg 0.000 0.000 0.000
Mg 1.668 1.668 1.764
Ru 1.668 1.668 4.546
Pt 0.000 0.000 3.130
```

The following is a DFT calculation (PBE) of a relaxed CsTbMn2Se4 crystal.

Output
**Formation energy (no corrections)**: -628 meV/atom

The structure in extended XYZ format:
```
8
Lattice="-3.430 4.387 4.739 3.430 -4.387 4.739 3.430 4.387 -4.739" Properties=species:S:1:pos:R:3 pbc="T T T"
Cs 0.000 0.000 0.000
Tb 0.000 0.000 4.739
Mn 3.430 0.000 3.771
Mn 0.000 4.387 0.968
Se 1.701 2.965 -1.637
Se 1.729 1.422 3.101
Se 1.729 -1.422 6.376
Se 1.701 5.809 1.637
```

Number 1: total magnetization 0.000 μB/atom, E_tot -8.66 eV/atom. Number 2: total magnetization 0.000 μB/atom, E_tot -3.18 eV/atom. Number 3: total magnetization 0.000 μB/atom, E_tot -4.75 eV/atom. Number 4: total magnetization 0.496 μB/atom, E_tot -5.35 eV/atom.